Record 1
VASP calculation (PBE) on a geometry-optimized Al2GaSi2 structure.

Unit cell a=7.7428 b=7.7428 c=2.7873 alpha=90.00 beta=90.00 gamma=90.00
Positions (direct):
Al1 0.1423 0.3577 0.0000
Al2 0.3577 0.8577 0.0000
Al3 0.6423 0.1423 0.0000
Al4 0.8577 0.6423 0.0000
Ga1 0.0000 0.0000 0.5000
Ga2 0.5000 0.5000 0.5000
Si1 0.1532 0.6532 0.5000
Si2 0.3468 0.1532 0.5000
Si3 0.6532 0.8468 0.5000
Si4 0.8468 0.3468 0.5000

Computed properties:
Mass density = 3.575 Mg/m³
Formation energy without anion corrections = 0.17 eV per atom
DOS(E_F) = 0.394 states/eV per atom



Record 2
VASP calculation (PBE) on a geometry-optimized YSnPt4 structure.

Unit cell a=5.4169 b=5.4169 c=5.4169 alpha=60.00 beta=60.00 gamma=60.00
Positions (direct):
Y1 0.0000 0.0000 0.0000
Sn1 0.7500 0.7500 0.7500
Pt1 0.3751 0.3751 0.3751
Pt2 0.3751 0.3751 0.8748
Pt3 0.3751 0.8748 0.3751
Pt4 0.8748 0.3751 0.3751

Computed properties:
Mass density = 14.597 Mg/m³
Formation energy = -0.7569 eV/atom
DOS(E_F) = 0.722 states/eV per atom